# 1
Density functional theory data (GGA-PBE) for YIn3 after structural relaxation.

Structure (POSCAR):
```
YIn3
1.0
-0.126 -3.753 -2.734
4.167 -1.298 1.590
-2.048 -2.409 3.402
Y In
1 3
Cartesian
-1.258 -3.282 0.618
-0.171 -0.201 0.284
0.889 -2.054 2.779
1.850 -2.726 -0.288
```

Properties
* energy relative to the elements: -426 meV/atom
* DOS at the Fermi energy: 1.47 states/eV/cell
* size of the total moment: 0.00 μB/f.u.
* V: 100 Å³/cell
* space-group type: Pm-3m (221)
* calculated density: 7.2 Mg/m³


# 2
Density functional theory data (GGA-PBE) for PuInTe after structural relaxation.

Structure (POSCAR):
```
PuInTe
1.0
-1.649 -3.213 0.805
2.447 -2.252 -3.976
2.191 0.052 4.698
Te In Pu
1 1 1
Cartesian
2.000 -1.255 1.941
-0.273 -0.532 0.133
1.262 -3.627 -0.548
```

Properties
* raw formation energy: -0.272 eV per atom
* DOS at the Fermi energy: 10.91 states/eV/cell
* size of the total moment: 6.01 μB/f.u.
* V: 86 Å³/cell
* space-group type: P3m1 (156)
* calculated density: 9.4 Mg/m³
* distance to the lowest polymorph of the same formula: 0.0 meV/atom


# 3
Density functional theory data (GGA-PBE) for Mg3GaPb2 after structural relaxation.

Structure (POSCAR):
```
Mg3GaPb2
1.0
2.437 -7.026 0.000
2.437 7.026 0.000
0.000 0.000 8.456
Mg Ga Pb
6 2 4
Cartesian
2.437 -4.585 6.551
2.437 0.000 1.981
2.437 4.585 1.905
2.437 -4.585 1.905
2.437 4.585 6.551
2.437 0.000 6.475
2.437 2.368 0.000
2.437 -2.368 0.000
0.000 0.000 0.000
0.000 0.000 4.228
2.437 2.334 4.228
2.437 -2.334 4.228
```

Properties
* energy relative to the elements: -57 meV/atom
* DOS at the Fermi energy: 3.94 states/eV/cell
* size of the total moment: 0.00 μB/f.u.
* V: 290 Å³/cell
* space-group type: Cmmm (65)
* calculated density: 6.4 Mg/m³
* distance to the lowest polymorph of the same formula: 17.4 meV/atom


# 4
Density functional theory data (GGA-PBE) for Al3InNi after structural relaxation.

Structure (POSCAR):
```
Al3InNi
1.0
-3.608 -3.531 0.887
3.513 -3.705 -0.459
0.957 0.285 5.028
Ni Al In
1 3 1
Cartesian
0.431 -3.475 2.728
1.756 -1.852 -0.229
0.479 0.143 2.514
-1.804 -1.766 0.444
0.000 0.000 0.000
```

Properties
* energy relative to the elements: 1281 meV/atom
* DOS at the Fermi energy: 4.87 states/eV/cell
* size of the total moment: 0.34 μB/f.u.
* V: 135 Å³/cell
* space-group type: Pm-3m (221)
* calculated density: 3.1 Mg/m³
* distance to the lowest polymorph of the same formula: 1316.3 meV/atom